# 1
DFT (PBE) results for an optimized crystal structure of ScTl2Ge.

Lattice parameters (Å, degrees): 5.1904 5.1904 5.1904 60.00 60.00 60.00
Closest atoms and distances in Å follow each position.
Element x y z (fractional)
Sc: 0.0000 0.0000 0.0000  8 Tl 3.18
Tl: 0.2500 0.2500 0.2500  4 Ge 3.18, 4 Sc 3.18
Tl: 0.7500 0.7500 0.7500  4 Sc 3.18, 4 Ge 3.18
Ge: 0.5000 0.5000 0.5000  8 Tl 3.18

Values from the calculation:
As for the energy relative to the lowest polymorph listed for this composition: 0.0722 eV per atom. The space group is Fm-3m. The volume is 99 Å³ per cell. The crystal system is cubic. The calculation puts the formation energy at 0.45 eV per formula unit.

***

# 2
DFT (PBE) results for an optimized crystal structure of ScTl2Ge2.

Lattice parameters (Å, degrees): 7.1757 7.1757 4.7094 90.00 90.00 90.00
Closest atoms and distances in Å follow each position.
Element x y z (fractional)
Sc: 0.0000 0.0000 0.0000  4 Ge 2.84
Sc: 0.5000 0.5000 0.0000  4 Ge 2.84
Tl: 0.1833 0.3167 0.5000  6 Ge 3.06-3.26
Tl: 0.3167 0.8167 0.5000  6 Ge 3.06-3.26
Tl: 0.6833 0.1833 0.5000  6 Ge 3.06-3.26
Tl: 0.8167 0.6833 0.5000  6 Ge 3.06-3.26
Ge: 0.1247 0.6247 0.0000  1 Ge 2.53
Ge: 0.3753 0.1247 0.0000  1 Ge 2.53
Ge: 0.6247 0.8753 0.0000  1 Ge 2.53
Ge: 0.8753 0.3753 0.0000  1 Ge 2.53

Values from the calculation:
The space group is P4/mbm. The volume is 242 Å³ per cell. The crystal system is tetragonal. The calculation puts the formation energy at -0.05 eV per formula unit.

***

# 3
DFT (PBE) results for an optimized crystal structure of ScTl3Ge.

Lattice parameters (Å, degrees): 5.4318 5.4318 5.4318 90.00 90.00 90.00
Closest atoms and distances in Å follow each position.
Element x y z (fractional)
Sc: 0.0000 0.0000 0.0000  12 Tl 3.84
Tl: 0.0000 0.5000 0.5000  2 Ge 2.72
Tl: 0.5000 0.0000 0.5000  2 Ge 2.72
Tl: 0.5000 0.5000 0.0000  2 Ge 2.72
Ge: 0.5000 0.5000 0.5000  6 Tl 2.72

Values from the calculation:
As for the energy relative to the lowest polymorph listed for this composition: 0.0000 eV per atom. The space group is Pm-3m. The volume is 160 Å³ per cell. The crystal system is cubic. The calculation puts the formation energy at 2.69 eV per formula unit.

***

# 4
DFT (PBE) results for an optimized crystal structure of ScTl2Ge.

Lattice parameters (Å, degrees): 6.5214 6.5214 6.5214 101.93 101.93 125.92
Closest atoms and distances in Å follow each position.
Element x y z (fractional)
Sc: 0.0000 0.0000 0.0000  2 Ge 2.96, 4 Tl 3.13
Sc: 0.7500 0.2500 0.5000  2 Ge 2.96, 4 Tl 3.13
Tl: 0.1483 0.6250 0.0233  2 Ge 2.87, 2 Tl 2.99, 2 Sc 3.13
Tl: 0.3750 0.3983 0.5233  2 Ge 2.87, 2 Tl 2.99, 2 Sc 3.13
Tl: 0.6017 0.1250 0.9767  2 Ge 2.87, 2 Tl 2.99, 2 Sc 3.13
Tl: 0.8750 0.8517 0.4767  2 Ge 2.87, 2 Tl 2.99, 2 Sc 3.13
Ge: 0.2500 0.7500 0.5000  4 Tl 2.87, 2 Sc 2.96
Ge: 0.5000 0.5000 0.0000  4 Tl 2.87, 2 Sc 2.96

Values from the calculation:
As for the energy relative to the lowest polymorph listed for this composition: 0.0000 eV per atom. The space group is I-42d. The volume is 200 Å³ per cell. The crystal system is tetragonal. The calculation puts the formation energy at 0.16 eV per formula unit.